# 1
VASP calculation (GGA-PBE) on an optimized crystal structure of KPu2HgO8.

- space-group type = P-3, No. 147
- raw total energy (eV per atom) = -7.51
- energy relative to the elements, uncorrected (eV per atom) = -1.697

Geometry as POSCAR:
```
KPu2HgO8
1.0
6.0819 0.0000 0.0000
-3.0409 5.2670 0.0000
0.0000 0.0000 6.8298
K Pu Hg O
1 2 1 8
Cartesian
0.0000 0.0000 0.0000
0.0000 3.5114 3.0160
3.0409 1.7557 3.8138
0.0000 0.0000 3.4149
-0.7898 2.0293 4.3027
-0.8886 4.9364 4.3027
0.0000 3.5114 1.1574
1.3625 1.6987 2.5272
1.6784 3.5684 4.3027
3.0409 1.7557 5.6725
3.9295 0.3307 2.5272
3.8307 3.2377 2.5272
```

# 2
VASP calculation (GGA-PBE) on an optimized crystal structure of Rb3Th3PaSe8.

- space-group type = R-3m, No. 166
- raw total energy (eV per atom) = -5.68
- energy relative to the elements, uncorrected (eV per atom) = -1.508

Geometry as POSCAR:
```
Rb3Th3PaSe8
1.0
4.2252 2.4394 8.3246
-4.2252 2.4394 8.3246
0.0000 -4.8789 8.3246
Rb Th Pa Se
3 3 1 8
Cartesian
-2.1126 -1.2197 8.3246
-2.1126 1.2197 16.6492
0.0000 2.4394 8.3246
-4.2252 0.0000 12.4869
-2.1126 1.2197 4.1623
2.1126 1.2197 4.1623
0.0000 0.0000 12.4869
0.0000 0.0000 5.8863
-2.0801 -1.2009 14.1491
0.0000 -2.4018 10.8248
-2.0801 1.2009 10.8248
2.0800 -1.2009 14.1490
0.0000 2.4018 14.1490
2.0800 1.2009 10.8248
0.0000 0.0000 19.0876
```

# 3
VASP calculation (GGA-PBE) on an optimized crystal structure of Y2MnCo.

- space-group type = I-42d, No. 122
- DFT formation energy (eV/atom) = 0.395
- raw total energy (eV per atom) = -6.91
- E above lowest polymorph (eV/atom) = 0.455

Geometry as POSCAR:
```
Y2MnCo
1.0
7.5832 0.0000 0.0000
0.0000 7.5832 0.0000
0.0000 0.0000 6.1093
Y Mn Co
8 4 4
Cartesian
1.5611 1.8958 0.7637
1.8958 5.3527 2.2910
1.8958 6.0221 5.3456
2.2305 1.8958 3.8183
5.3527 5.6874 3.8183
5.6874 1.5611 5.3456
5.6874 2.2305 2.2910
6.0221 5.6874 0.7637
0.0000 0.0000 3.0546
0.0000 3.7916 4.5820
3.7916 0.0000 1.5273
3.7916 3.7916 0.0000
0.0000 0.0000 0.0000
0.0000 3.7916 1.5273
3.7916 0.0000 4.5820
3.7916 3.7916 3.0546
```

# 4
VASP calculation (GGA-PBE) on an optimized crystal structure of TlCrSb3.

- space-group type = Pm-3m, No. 221
- raw total energy (eV per atom) = -4.55
- E above lowest polymorph (eV/atom) = 0.000
- energy relative to the elements, uncorrected (eV per atom) = 0.326

Geometry as POSCAR:
```
TlCrSb3
1.0
5.1781 0.0000 0.0000
0.0000 5.1781 0.0000
0.0000 0.0000 5.1781
Tl Cr Sb
1 1 3
Cartesian
0.0000 0.0000 0.0000
2.5890 2.5890 2.5890
0.0000 2.5890 2.5890
2.5890 0.0000 2.5890
2.5890 2.5890 0.0000
```

# 5
VASP calculation (GGA-PBE) on an optimized crystal structure of Sc2VPt.

- space-group type = Fm-3m, No. 225
- DFT formation energy (eV/atom) = -0.538
- raw total energy (eV per atom) = -7.49
- E above lowest polymorph (eV/atom) = 0.014

Geometry as POSCAR:
```
Sc2VPt
1.0
6.6213 0.0000 0.0000
0.0000 6.6213 0.0000
0.0000 0.0000 6.6213
Sc V Pt
8 4 4
Cartesian
1.6553 1.6553 1.6553
1.6553 1.6553 4.9660
1.6553 4.9660 1.6553
1.6553 4.9660 4.9660
4.9660 1.6553 1.6553
4.9660 1.6553 4.9660
4.9660 4.9660 1.6553
4.9660 4.9660 4.9660
0.0000 0.0000 0.0000
0.0000 3.3106 3.3106
3.3106 0.0000 3.3106
3.3106 3.3106 0.0000
0.0000 0.0000 3.3106
0.0000 3.3106 0.0000
3.3106 0.0000 0.0000
3.3106 3.3106 3.3106
```

# 6
VASP calculation (GGA-PBE) on an optimized crystal structure of TeRuPb.

- space-group type = P-6m2, No. 187
- raw total energy (eV per atom) = -5.07
- E above lowest polymorph (eV/atom) = 0.201
- energy relative to the elements, uncorrected (eV per atom) = 0.306

Geometry as POSCAR:
```
TeRuPb
1.0
4.4485 0.0000 0.0000
-2.2243 3.8526 0.0000
0.0000 0.0000 4.4951
Te Ru Pb
1 1 1
Cartesian
0.0000 0.0000 0.0000
0.0000 2.5684 0.0000
2.2243 1.2842 2.2475
```

# 7
VASP calculation (GGA-PBE) on an optimized crystal structure of ZnS2I2.

- space-group type = C2/m, No. 12
- raw total energy (eV per atom) = -2.58
- energy relative to the elements, uncorrected (eV per atom) = -0.058

Geometry as POSCAR:
```
ZnS2I2
1.0
7.1308 0.0000 0.0000
0.0000 4.1398 0.0000
-0.7987 0.0000 12.2557
Zn S I
2 4 4
Cartesian
0.0000 0.0000 0.0000
3.5654 2.0699 0.0000
0.0082 0.0000 5.2699
2.7585 2.0699 6.9858
3.5736 2.0699 5.2699
6.3239 0.0000 6.9858
0.3926 2.0699 10.6357
2.3740 0.0000 1.6200
3.9580 0.0000 10.6357
5.9395 2.0699 1.6200
```

# 8
VASP calculation (GGA-PBE) on an optimized crystal structure of ScSnRhAu.

- space-group type = F-43m, No. 216
- DFT formation energy (eV/atom) = -0.627
- raw total energy (eV per atom) = -5.87

Geometry as POSCAR:
```
ScSnRhAu
1.0
6.6438 0.0000 0.0000
0.0000 6.6438 0.0000
0.0000 0.0000 6.6438
Sc Sn Rh Au
4 4 4 4
Cartesian
0.0000 0.0000 0.0000
0.0000 3.3219 3.3219
3.3219 0.0000 3.3219
3.3219 3.3219 0.0000
0.0000 0.0000 3.3219
0.0000 3.3219 0.0000
3.3219 0.0000 0.0000
3.3219 3.3219 3.3219
1.6610 1.6610 1.6610
1.6610 4.9829 4.9829
4.9829 1.6610 4.9829
4.9829 4.9829 1.6610
1.6610 1.6610 4.9829
1.6610 4.9829 1.6610
4.9829 1.6610 1.6610
4.9829 4.9829 4.9829
```

# 9
VASP calculation (GGA-PBE) on an optimized crystal structure of Ba3ZrTl2O8.

- space-group type = P-3m1, No. 164
- raw total energy (eV per atom) = -6.24
- energy relative to the elements, uncorrected (eV per atom) = -2.043

Geometry as POSCAR:
```
Ba3ZrTl2O8
1.0
6.1213 0.0000 0.0000
-3.0606 5.3012 0.0000
0.0000 0.0000 7.9378
Ba Zr Tl O
3 1 2 8
Cartesian
0.0000 0.0000 0.0000
0.0000 3.5341 4.9776
3.0606 1.7671 2.9602
0.0000 0.0000 3.9689
0.0000 3.5341 1.5208
3.0606 1.7671 6.4170
0.0000 1.6902 2.7053
-1.5969 4.4561 2.7053
1.4638 0.8451 5.2325
0.0000 3.5341 7.4204
3.0606 1.7671 0.5174
1.5969 4.4561 2.7053
4.6575 0.8451 5.2325
3.0606 3.6110 5.2325
```

# 10
VASP calculation (GGA-PBE) on an optimized crystal structure of Sm6In2Cu.

- space-group type = Immm, No. 71
- DFT formation energy (eV/atom) = -0.026
- raw total energy (eV per atom) = -4.24

Geometry as POSCAR:
```
Sm6In2Cu
1.0
-2.5959 3.6964 7.6110
2.5959 -3.6964 7.6110
2.5959 3.6964 -7.6110
Sm In Cu
6 2 1
Cartesian
2.5959 1.7888 -2.4029
0.0000 1.6903 0.0000
2.5959 1.7888 2.4029
0.0000 1.9075 5.2082
0.0000 5.7024 0.0000
0.0000 1.9075 10.0139
2.5959 0.0000 5.0812
0.0000 3.6964 2.5299
2.5959 0.0000 0.0000
```

- raw total energy of number 9 (Ba3ZrTl2O8)?
  -6.24 eV per atom

- Which value of raw total energy does entry 8 give?
  -5.87 eV per atom

Please write out number 2 again, unchanged.
VASP calculation (GGA-PBE) on an optimized crystal structure of Rb3Th3PaSe8.

- space-group type = R-3m, No. 166
- raw total energy (eV per atom) = -5.68
- energy relative to the elements, uncorrected (eV per atom) = -1.508

Geometry as POSCAR:
```
Rb3Th3PaSe8
1.0
4.2252 2.4394 8.3246
-4.2252 2.4394 8.3246
0.0000 -4.8789 8.3246
Rb Th Pa Se
3 3 1 8
Cartesian
-2.1126 -1.2197 8.3246
-2.1126 1.2197 16.6492
0.0000 2.4394 8.3246
-4.2252 0.0000 12.4869
-2.1126 1.2197 4.1623
2.1126 1.2197 4.1623
0.0000 0.0000 12.4869
0.0000 0.0000 5.8863
-2.0801 -1.2009 14.1491
0.0000 -2.4018 10.8248
-2.0801 1.2009 10.8248
2.0800 -1.2009 14.1490
0.0000 2.4018 14.1490
2.0800 1.2009 10.8248
0.0000 0.0000 19.0876
```

- Which formula does entry 1 have?
  KPu2HgO8